(1)
Compound: Rb2BeAsH
Source: Alexandria
Functional: GGA-PBE
Structure: relaxed

Results
E: -30.32 eV for the cell shown
V: 26.54 Å³ per atom

abc: 7.0641 3.9490 10.1294
angles: 90.00 110.07 90.00
Closest atoms and distances in Å follow each position.
Space group P2_1/m (No. 11)
Unique sites:
Rb  0.2136  0.2500  0.4111 [2 per cell]  2 H 3.15
Rb  0.2703  0.7500  0.0529 [2 per cell]  3 H 2.97-3.05
Be  0.2180  0.2500  0.7615 [2 per cell]  1 H 1.49
As  0.3398  0.7500  0.7215 [2 per cell]  2 Be 2.25
H  0.0529  0.2500  0.8213 [2 per cell]  1 Be 1.49

=====

(2)
Compound: SrAlTl3
Source: Alexandria
Functional: GGA-PBE
Structure: relaxed

Results
energy of formation: 775 meV per atom
distance to the lowest polymorph of the same formula: 0.755 eV/atom
V: 47.75 Å³ per atom

abc: 6.2039 6.2039 6.2039
angles: 90.00 90.00 90.00
Closest atoms and distances in Å follow each position.
Space group Pm-3m (No. 221)
Unique sites:
Sr  0.0000  0.0000  0.0000 [1 per cell]  6 Tl 3.10
Al  0.5000  0.5000  0.5000 [1 per cell]  12 Tl 4.39
Tl  0.0000  0.0000  0.5000 [3 per cell]  2 Sr 3.10

=====

(3)
Compound: VRe
Source: Alexandria
Functional: GGA-PBE
Structure: relaxed

Results
energy of formation: -263 meV per atom
V: 14.15 Å³ per atom

abc: 4.2953 4.2953 6.1354
angles: 90.00 90.00 90.00
Closest atoms and distances in Å follow each position.
Space group P4/nmm (No. 129, origin choice 2)
Unique sites:
V  0.2500  0.2500  0.2487 [2 per cell]  4 V 2.63, 4 Re 2.64
V  0.2500  0.7500  0.0000 [2 per cell]  4 Re 2.60, 4 V 2.63
Re  0.2500  0.2500  0.7622 [2 per cell]  4 V 2.60, 4 Re 2.68
Re  0.2500  0.7500  0.5000 [2 per cell]  4 V 2.64, 4 Re 2.68

=====

(4)
Compound: CaTcAsSe2
Source: Alexandria
Functional: GGA-PBE
Structure: relaxed

Results
distance to the lowest polymorph of the same formula: 1.540 eV/atom
energy relative to the elements, uncorrected: 1.2402 eV/atom
V: 28.96 Å³ per atom

abc: 5.2429 5.2429 5.2671
angles: 90.00 90.00 90.00
Closest atoms and distances in Å follow each position.
Space group P4/mmm (No. 123)
Unique sites:
Ca  0.0000  0.0000  0.0000 [1 per cell]  4 Se 2.62, 2 As 2.63
Tc  0.5000  0.5000  0.5000 [1 per cell]  4 As 3.71, 8 Se 3.72
As  0.0000  0.0000  0.5000 [1 per cell]  2 Ca 2.63
Se  0.0000  0.5000  0.0000 [2 per cell]  2 Ca 2.62

=====

(5)
Compound: Ba2ThZrAs4
Source: Alexandria
Functional: GGA-PBE
Structure: relaxed

Results
energy of formation: -1178 meV per atom
V: 29.82 Å³ per atom

abc: 7.4082 4.2979 7.8866
angles: 90.00 108.21 90.00
Closest atoms and distances in Å follow each position.
Space group P2/m (No. 10)
Unique sites:
Ba  0.0000  0.0000  0.0000 [1 per cell]  6 As 3.37-3.38
Ba  0.5000  0.5000  0.0000 [1 per cell]  6 As 3.25-3.27
Th  0.0000  0.5000  0.5000 [1 per cell]  6 As 2.98
Zr  0.5000  0.0000  0.5000 [1 per cell]  6 As 2.83-2.87
As  0.2508  0.0000  0.7078 [2 per cell]  1 Zr 2.83, 2 Th 2.98
As  0.2789  0.5000  0.2972 [2 per cell]  2 Zr 2.87, 1 Th 2.98

=====

(6)
Compound: KCrSe2
Source: Alexandria
Functional: GGA-PBE
Structure: relaxed

Results
energy relative to the elements, uncorrected: -0.3934 eV/atom
V: 22.23 Å³ per atom

abc: 4.7461 4.7592 7.8729
angles: 90.00 90.00 90.00
Closest atoms and distances in Å follow each position.
Space group Cmmm (No. 65)
Unique sites:
K  0.0000  0.0000  0.0000 [2 per cell]  4 K 3.36, 8 Se 3.38-3.39
Cr  0.0000  0.0000  0.5000 [2 per cell]  8 Se 2.82-2.83
Se  0.0000  0.5000  0.3065 [4 per cell]  4 Cr 2.82-2.83, 1 Se 3.05

=====

(7)
Compound: TaBAs3
Source: Alexandria
Functional: GGA-PBE
Structure: relaxed

Results
energy of formation: 1184 meV per atom
distance to the lowest polymorph of the same formula: 0.288 eV/atom
V: 24.81 Å³ per atom

abc: 4.9876 4.9876 4.9876
angles: 90.00 90.00 90.00
Closest atoms and distances in Å follow each position.
Space group Pm-3m (No. 221)
Unique sites:
Ta  0.0000  0.0000  0.0000 [1 per cell]  6 As 2.49
B  0.5000  0.5000  0.5000 [1 per cell]  12 As 3.53
As  0.0000  0.0000  0.5000 [3 per cell]  2 Ta 2.49

=====

(8)
Compound: Ba2NaPdN
Source: Alexandria
Functional: GGA-PBE
Structure: relaxed

Results
energy relative to the elements, uncorrected: -0.1706 eV/atom
V: 28.11 Å³ per atom

abc: 5.8854 5.8854 4.0574
angles: 90.00 90.00 90.00
Closest atoms and distances in Å follow each position.
Space group P4/mmm (No. 123)
Unique sites:
Ba  0.0000  0.5000  0.0000 [2 per cell]  2 N 2.94
Na  0.0000  0.0000  0.5000 [1 per cell]  8 Ba 3.57
Pd  0.5000  0.5000  0.5000 [1 per cell]  2 N 2.03
N  0.5000  0.5000  0.0000 [1 per cell]  2 Pd 2.03

=====

(9)
Compound: Sr6Tl5Sn
Source: Alexandria
Functional: GGA-PBE
Structure: relaxed

Results
energy of formation: -464 meV per atom
V: 34.28 Å³ per atom

abc: 5.7916 8.1438 9.1859
angles: 90.00 108.29 90.00
Closest atoms and distances in Å follow each position.
Space group P2/m (No. 10)
Unique sites:
Sr  0.0000  0.2447  0.0000 [2 per cell]  2 Sn 3.52, 6 Tl 3.56-3.61
Sr  0.3367  0.2498  0.6714 [4 per cell]  7 Tl 3.49-3.58, 1 Sn 3.51
Tl  0.1659  0.5000  0.3346 [2 per cell]  8 Sr 3.54-3.58
Tl  0.1715  0.0000  0.3458 [2 per cell]  8 Sr 3.49-3.61
Tl  0.5000  0.5000  0.0000 [1 per cell]  8 Sr 3.52-3.56
Sn  0.5000  0.0000  0.0000 [1 per cell]  8 Sr 3.51-3.52

=====

(10)
Compound: CaMoCl2
Source: Alexandria
Functional: GGA-PBE
Structure: relaxed

Results
distance to the lowest polymorph of the same formula: 0.247 eV/atom
energy relative to the elements, uncorrected: -0.3060 eV/atom
V: 22.53 Å³ per atom

abc: 3.3837 4.3093 6.1793
angles: 90.00 90.00 90.00
Closest atoms and distances in Å follow each position.
Space group Pmmm (No. 47)
Unique sites:
Ca  0.0000  0.0000  0.0000 [1 per cell]  4 Cl 2.74
Mo  0.5000  0.0000  0.5000 [1 per cell]  4 Cl 2.74
Cl  0.0000  0.5000  0.5000 [1 per cell]  4 Mo 2.74
Cl  0.5000  0.5000  0.0000 [1 per cell]  4 Ca 2.74

=====

(11)
Compound: KCu2PbBr6
Source: Alexandria
Functional: GGA-PBE
Structure: relaxed

Results
energy relative to the elements, uncorrected: -0.7477 eV/atom
V: 37.19 Å³ per atom

abc: 7.1574 7.3880 8.8944
angles: 92.07 112.55 117.52
Closest atoms and distances in Å follow each position.
Space group P1 (No. 1)
Unique sites:
K  0.0000  0.0000  0.0000 [1 per cell]  6 Br 3.35-3.38
Cu  0.4825  0.2331  0.7200 [1 per cell]  3 Br 2.33-2.37
Cu  0.5138  0.7709  0.2759 [1 per cell]  3 Br 2.33-2.37
Pb  0.0003  0.5025  0.4997 [1 per cell]  6 Br 3.05-3.07
Br  0.1674  0.2561  0.7294 [1 per cell]  1 Cu 2.37
Br  0.2134  0.4529  0.2734 [1 per cell]  1 Cu 2.33
Br  0.4572  0.9098  0.7433 [1 per cell]  1 Cu 2.33
Br  0.5457  0.0965  0.2519 [1 per cell]  1 Cu 2.33
Br  0.7766  0.5520  0.7169 [1 per cell]  1 Cu 2.33
Br  0.8338  0.7510  0.2728 [1 per cell]  1 Cu 2.37

=====

(12)
Compound: Ba2NF
Source: Alexandria
Functional: GGA-PBE
Structure: relaxed

Results
distance to the lowest polymorph of the same formula: 0.300 eV/atom
energy relative to the elements, uncorrected: -1.4116 eV/atom
V: 20.47 Å³ per atom

abc: 6.8931 6.8931 6.8931
angles: 90.00 90.00 90.00
Closest atoms and distances in Å follow each position.
Space group Fm-3m (No. 225)
Unique sites:
Ba  0.2500  0.2500  0.2500 [8 per cell]  4 N 2.98, 4 F 2.98
N  0.0000  0.0000  0.0000 [4 per cell]  8 Ba 2.98
F  0.0000  0.0000  0.5000 [4 per cell]  8 Ba 2.98